DFT (GGA+U) results for CoSbNF2 after structural relaxation.

Geometry as extended XYZ:
```
5
Lattice="4.0371 0.0000 0.0000 0.0000 4.0371 0.0000 0.0000 0.0000 3.8715" Properties=species:S:1:pos:R:3 pbc="T T T"
Co 0.0000 0.0000 0.0000
Sb 2.0185 2.0185 1.9358
N 0.0000 0.0000 1.9358
F 0.0000 2.0185 0.0000
F 2.0185 0.0000 0.0000
```

## Properties
E_tot = -4.691 eV/atom
Energy above the lowest structure with this stoichiometry = 0 meV per atom
Size of the total moment = 2.59 μB/f.u.
DOS(E_F) = 0.5284 states/eV per atom